VASP calculation (PBE) on an optimized crystal structure of NaCa2Bi.

Cell lengths 8.3676, 8.3676, 8.3676 Å; angles 33.85, 33.85, 33.85 degrees
Positions (direct):
Na 0.0000 0.0000 0.0000
Ca 0.5606 0.5606 0.5606
Ca 0.7655 0.7655 0.7655
Bi 0.1608 0.1608 0.1608

Properties
**Total energy**: -0.197 Ry/atom
**Energy of formation from the pure elements**: -0.386 eV per atom
**Size of the total moment**: 0.0000 μB per atom

---

VASP calculation (PBE) on an optimized crystal structure of CaAg2As.

Cell lengths 4.9426, 4.9426, 4.9426 Å; angles 121.27, 121.27, 87.82 degrees
Positions (direct):
Ca 0.0000 0.0000 0.0000
Ag 0.5000 0.5000 0.0000
Ag 0.7500 0.2500 0.5000
As 0.2500 0.7500 0.5000

Properties
**Total energy**: -0.250 Ry/atom
**Energy of formation from the pure elements**: -0.308 eV per atom
**Size of the total moment**: 0.0000 μB per atom

---

VASP calculation (PBE) on an optimized crystal structure of RbGaC.

Cell lengths 6.5909, 6.5909, 6.5909 Å; angles 47.15, 47.15, 47.15 degrees
Positions (direct):
Rb 0.1130 0.1130 0.1130
Rb 0.8870 0.8870 0.8870
Ga 0.3456 0.3456 0.3456
Ga 0.6544 0.6544 0.6544
C 0.4640 0.4640 0.4640
C 0.5360 0.5360 0.5360

Properties
**Total energy**: -0.309 Ry/atom
**Energy of formation from the pure elements**: 0.200 eV per atom
**Size of the total moment**: 0.0000 μB per atom

---

VASP calculation (PBE) on an optimized crystal structure of Y2SiHg.

Cell lengths 6.5750, 6.5750, 6.5750 Å; angles 106.74, 106.74, 115.09 degrees
Positions (direct):
Y 0.1043 0.6250 0.9793
Y 0.3750 0.3543 0.4793
Y 0.6457 0.1250 0.0207
Y 0.8750 0.8957 0.5207
Si 0.0000 0.0000 0.0000
Si 0.7500 0.2500 0.5000
Hg 0.2500 0.7500 0.5000
Hg 0.5000 0.5000 0.0000

Properties
**Formation energy (no corrections)**: -0.25 eV/atom
**Total energy**: -0.361 Ry/atom
**Size of the total moment**: 0.0000 μB per atom

---

VASP calculation (PBE) on an optimized crystal structure of La4CoHgBi.

Cell lengths 9.3718, 9.3718, 7.1607 Å; angles 90.00, 90.00, 134.74 degrees
Positions (direct):
La 0.0000 0.5000 0.0000
La 0.0000 0.5000 0.5000
La 0.0715 0.9285 0.7500
La 0.4207 0.5793 0.7500
La 0.5000 0.0000 0.0000
La 0.5000 0.0000 0.5000
La 0.5793 0.4207 0.2500
La 0.9285 0.0715 0.2500
Co 0.2455 0.7545 0.7500
Co 0.7545 0.2455 0.2500
Hg 0.1135 0.8865 0.2500
Hg 0.8865 0.1135 0.7500
Bi 0.3913 0.6087 0.2500
Bi 0.6087 0.3913 0.7500

Properties
**Total energy**: -0.360 Ry/atom
**Energy of formation from the pure elements**: -0.467 eV per atom
**Size of the total moment**: 0.0000 μB per atom

---

VASP calculation (PBE) on an optimized crystal structure of BeFeB.

Cell lengths 3.9748, 3.9748, 3.9748 Å; angles 142.33, 142.33, 54.34 degrees
Positions (direct):
Be 0.0000 0.0000 0.0000
Fe 0.3122 0.3122 0.0000
B 0.6691 0.6691 0.0000

Properties
**Total energy**: -0.466 Ry/atom
**Energy of formation from the pure elements**: -0.057 eV per atom
**Size of the total moment**: 0.1407 μB per atom